# 1
A relaxed structure of DyTm3Sc2. Source: Alexandria via LeMat-Bulk, functional PBE.

Geometry as POSCAR:
```
DyTm3Sc2
1.0
8.492 -1.690 0.000
8.492 1.690 0.000
-6.333 0.000 12.140
Dy Tm Sc
2 6 4
Direct
0.060 0.060 0.146
0.940 0.940 0.854
0.104 0.104 0.526
0.244 0.244 0.800
0.460 0.460 0.287
0.540 0.540 0.713
0.756 0.756 0.200
0.896 0.896 0.474
0.159 0.159 0.967
0.317 0.317 0.615
0.683 0.683 0.385
0.841 0.841 0.033
```

Summary:
The calculation puts the formation enthalpy at 0 K at 0.130 eV per atom. Its distance to the lowest polymorph of the same formula is 0.000 eV per atom. For the mass density, the calculation gives 7.24 g/cm³.


# 2
A relaxed structure of NpCuP2. Source: Alexandria via LeMat-Bulk, functional PBE.

Geometry as POSCAR:
```
NpCuP2
1.0
4.238 0.000 0.000
0.000 4.238 0.000
0.000 0.000 3.535
Np Cu P
1 1 2
Direct
0.000 0.000 0.000
0.500 0.500 0.000
0.000 0.500 0.500
0.500 0.000 0.500
```

Summary:
The calculation puts the formation enthalpy at 0 K at -0.395 eV per atom. For the mass density, the calculation gives 9.48 g/cm³.


# 3
A relaxed structure of CdGe2Sb2. Source: Alexandria via LeMat-Bulk, functional PBE.

Geometry as POSCAR:
```
CdGe2Sb2
1.0
-2.228 2.228 7.125
2.228 -2.228 7.125
2.228 2.228 -7.125
Cd Ge Sb
1 2 2
Direct
0.000 0.000 0.000
0.250 0.750 0.500
0.750 0.250 0.500
0.376 0.376 0.000
0.624 0.624 0.000
```

Summary:
Its distance to the lowest polymorph of the same formula is 0.026 eV per atom. Its formation energy (no corrections) is 0.239 eV per atom. For the mass density, the calculation gives 5.88 g/cm³.


# 4
A relaxed structure of Ag5Se. Source: Alexandria via LeMat-Bulk, functional PBE.

Geometry as POSCAR:
```
Ag5Se
1.0
5.373 -1.547 0.000
5.373 1.547 0.000
-1.922 0.000 6.734
Ag Se
5 1
Direct
0.000 0.000 0.000
0.040 0.040 0.591
0.326 0.326 0.660
0.381 0.381 0.267
0.662 0.662 0.335
0.716 0.716 0.933
```

Summary:
Its formation energy (no corrections) is 0.067 eV per atom. For the mass density, the calculation gives 9.17 g/cm³.


# 5
A relaxed structure of LiCo2P. Source: Alexandria via LeMat-Bulk, functional PBE.

Geometry as POSCAR:
```
LiCo2P
1.0
2.547 -3.718 0.000
2.547 3.718 0.000
-1.162 0.000 2.270
Li Co P
1 2 1
Direct
0.000 0.000 0.000
0.000 0.500 0.500
0.500 0.000 0.500
0.500 0.500 0.000
```

Summary:
The calculation puts the formation enthalpy at 0 K at -0.073 eV per atom. For the mass density, the calculation gives 6.02 g/cm³.


# 6
A relaxed structure of CsIr2PbC. Source: Alexandria via LeMat-Bulk, functional PBE.

Geometry as POSCAR:
```
CsIr2PbC
1.0
4.238 0.000 0.000
0.000 4.238 0.000
0.000 0.000 5.705
Cs Ir Pb C
1 2 1 1
Direct
0.000 0.000 0.000
0.000 0.500 0.500
0.500 0.000 0.500
0.500 0.500 0.000
0.000 0.000 0.500
```

Summary:
The calculation puts the formation enthalpy at 0 K at 1.066 eV per atom. For the mass density, the calculation gives 11.94 g/cm³.


# 7
A relaxed structure of TlInPt. Source: Alexandria via LeMat-Bulk, functional PBE.

Geometry as POSCAR:
```
TlInPt
1.0
4.113 0.000 0.000
-2.056 3.562 0.000
0.000 0.000 5.237
Tl In Pt
1 1 1
Direct
0.000 0.000 0.000
0.333 0.667 0.447
0.667 0.333 0.695
```

Summary:
The calculation puts the formation enthalpy at 0 K at -0.094 eV per atom. Its distance to the lowest polymorph of the same formula is 0.155 eV per atom. For the mass density, the calculation gives 11.13 g/cm³.


# 8
A relaxed structure of BeAlSb2. Source: Alexandria via LeMat-Bulk, functional PBE.

Geometry as POSCAR:
```
BeAlSb2
1.0
4.886 0.000 0.000
0.000 2.670 3.368
0.000 -2.670 3.368
Be Al Sb
1 1 2
Direct
0.000 0.000 0.000
0.500 0.803 0.803
0.000 0.605 0.605
0.500 0.197 0.197
```

Summary:
Its distance to the lowest polymorph of the same formula is 0.121 eV per atom. Its formation energy (no corrections) is 0.203 eV per atom. For the mass density, the calculation gives 5.28 g/cm³.


# 9
A relaxed structure of AcCu2Au3. Source: Alexandria via LeMat-Bulk, functional PBE.

Geometry as POSCAR:
```
AcCu2Au3
1.0
5.820 0.000 0.000
-2.910 5.040 0.000
0.000 0.000 4.122
Ac Cu Au
1 2 3
Direct
0.000 0.000 0.000
0.333 0.667 0.000
0.667 0.333 0.000
0.000 0.500 0.500
0.500 0.000 0.500
0.500 0.500 0.500
```

Summary:
The calculation puts the formation enthalpy at 0 K at -0.381 eV per atom. For the mass density, the calculation gives 12.98 g/cm³.


# 10
A relaxed structure of PrHo2Tl3Se6. Source: Alexandria via LeMat-Bulk, functional PBE.

Geometry as POSCAR:
```
PrHo2Tl3Se6
1.0
3.667 -6.349 0.000
3.667 6.349 0.000
-2.445 0.000 7.766
Pr Ho Tl Se
1 2 3 6
Direct
0.000 0.000 0.000
0.333 0.667 0.000
0.667 0.333 0.000
0.164 0.836 0.500
0.500 0.500 0.500
0.836 0.164 0.500
0.069 0.414 0.207
0.276 0.276 0.796
0.414 0.069 0.207
0.586 0.931 0.793
0.724 0.724 0.204
0.931 0.586 0.793
```

Summary:
Its formation energy (no corrections) is -1.378 eV per atom. For the mass density, the calculation gives 7.15 g/cm³.


# 11
A relaxed structure of RbCu2HgTe2. Source: Alexandria via LeMat-Bulk, functional PBE.

Geometry as POSCAR:
```
RbCu2HgTe2
1.0
7.542 0.000 0.000
0.000 5.633 0.000
-3.149 0.000 9.162
Rb Cu Hg Te
2 4 2 4
Direct
0.160 0.250 0.352
0.840 0.750 0.648
0.312 0.019 0.810
0.312 0.481 0.810
0.688 0.519 0.190
0.688 0.981 0.190
0.351 0.750 0.067
0.649 0.250 0.933
0.121 0.250 0.934
0.345 0.750 0.618
0.655 0.250 0.382
0.879 0.750 0.066
```

Summary:
Its formation energy (no corrections) is -0.244 eV per atom. For the mass density, the calculation gives 5.70 g/cm³.


# 12
A relaxed structure of SnIF3. Source: Alexandria via LeMat-Bulk, functional PBE.

Geometry as POSCAR:
```
SnIF3
1.0
4.805 0.000 0.000
0.000 4.805 0.000
0.000 0.000 4.805
Sn I F
1 1 3
Direct
0.000 0.000 0.000
0.500 0.500 0.500
0.000 0.500 0.500
0.500 0.000 0.500
0.500 0.500 0.000
```

Summary:
Its distance to the lowest polymorph of the same formula is 0.771 eV per atom. Its formation energy (no corrections) is -0.671 eV per atom. For the mass density, the calculation gives 4.53 g/cm³.